Material: ZrAsP2
Method: DFT, PBE-GGA
State: relaxed

Cell lengths 3.828, 3.828, 9.415 Å; angles 90.00, 90.00, 90.00 degrees
Space group I-4m2 (No. 119)
Symmetry-distinct sites (fractional):
1 Zr 0.000 0.000 0.000 [2 per cell]
2 As 0.000 0.500 0.750 [2 per cell]
3 P 0.000 0.000 0.500 [2 per cell]
4 P 0.000 0.500 0.250 [2 per cell]

Properties
Raw total energy (eV per atom): -6.276
Energy of formation from the pure elements (meV/atom): -271

Material: ZrAsP2
Method: DFT, PBE-GGA
State: relaxed

Cell lengths 6.554, 6.554, 6.554 Å; angles 90.00, 90.00, 90.00 degrees
Space group F-43m (No. 216)
Symmetry-distinct sites (fractional):
1 Zr 0.000 0.000 0.000 [4 per cell]
2 As 0.250 0.250 0.750 [4 per cell]
3 P 0.000 0.000 0.500 [4 per cell]
4 P 0.250 0.250 0.250 [4 per cell]

Properties
Raw total energy (eV per atom): -5.900
Energy of formation from the pure elements (meV/atom): 104

Material: Zr2AsP2
Method: DFT, PBE-GGA
State: relaxed

Cell lengths 7.295, 7.295, 3.462 Å; angles 90.00, 90.00, 90.00 degrees
Space group P4/mbm (No. 127)
Symmetry-distinct sites (fractional):
1 Zr 0.162 0.338 0.000 [4 per cell]
2 As 0.000 0.000 0.000 [2 per cell]
3 P 0.130 0.630 0.500 [4 per cell]

Properties
Distance to the lowest polymorph of the same formula (meV per atom): 0
Raw total energy (eV per atom): -7.448
Energy of formation from the pure elements (meV/atom): -935

Material: Pa5As
Method: DFT, PBE-GGA
State: relaxed

Cell lengths 4.597, 13.781, 4.407 Å; angles 90.00, 90.00, 90.00 degrees
Space group Cmmm (No. 65)
Symmetry-distinct sites (fractional):
1 Pa 0.000 0.000 0.000 [2 per cell]
2 Pa 0.000 0.158 0.500 [4 per cell]
3 Pa 0.000 0.340 0.000 [4 per cell]
4 As 0.000 0.500 0.500 [2 per cell]

Properties
Raw total energy (eV per atom): -8.956
Energy of formation from the pure elements (meV/atom): -268

Material: PaAs2
Method: DFT, PBE-GGA
State: relaxed

Cell lengths 4.038, 4.038, 16.086 Å; angles 90.00, 90.00, 90.00 degrees
Space group I4/mmm (No. 139)
Symmetry-distinct sites (fractional):
1 Pa 0.000 0.000 0.137 [4 per cell]
2 As 0.000 0.000 0.319 [4 per cell]
3 As 0.000 0.500 0.000 [4 per cell]

Properties
Distance to the lowest polymorph of the same formula (meV per atom): 7
Raw total energy (eV per atom): -7.192
Energy of formation from the pure elements (meV/atom): -927

Material: PaAs
Method: DFT, PBE-GGA
State: relaxed

Cell lengths 3.758, 3.870, 6.410 Å; angles 90.00, 96.79, 90.00 degrees
Space group P2_1/m (No. 11)
Symmetry-distinct sites (fractional):
1 Pa 0.169 0.250 0.135 [2 per cell]
2 As 0.251 0.750 0.495 [2 per cell]

Properties
Distance to the lowest polymorph of the same formula (meV per atom): 958
Raw total energy (eV per atom): -7.174
Energy of formation from the pure elements (meV/atom): -101